(1)
Entry from Alexandria: a relaxed Rb2VNi crystal (PBE).

Cell lengths 9.4420, 9.4420, 9.4420 Å; angles 93.37, 93.37, 151.96 degrees
Positions (direct):
Rb: 0.3750 0.1925 0.3175
Rb: 0.8075 0.1250 0.1825
Rb: 0.8750 0.0575 0.6825
Rb: 0.9425 0.6250 0.8175
V: 0.2500 0.7500 0.5000
V: 0.5000 0.5000 0.0000
Ni: 0.0000 0.0000 0.0000
Ni: 0.7500 0.2500 0.5000

Summary:
ΔE_f   3.78 eV/f.u.
Calculated volume   383.95 Å³ per cell
Symmetry   No. 122



(2)
Entry from Alexandria: a relaxed RbVNi3 crystal (PBE).

Cell lengths 4.6064, 4.6064, 4.6064 Å; angles 90.00, 90.00, 90.00 degrees
Positions (direct):
Rb: 0.0000 0.0000 0.0000
V: 0.5000 0.5000 0.5000
Ni: 0.0000 0.0000 0.5000
Ni: 0.0000 0.5000 0.0000
Ni: 0.5000 0.0000 0.0000

Summary:
ΔE_f   11.60 eV/f.u.
Calculated volume   97.74 Å³ per cell
Symmetry   No. 221



(3)
Entry from Alexandria: a relaxed RbV2Ni crystal (PBE).

Cell lengths 8.4936, 8.4936, 8.4936 Å; angles 140.60, 140.60, 56.94 degrees
Positions (direct):
Rb: 0.3750 0.6250 0.7500
Rb: 0.6250 0.3750 0.2500
V: 0.0000 0.0000 0.0000
V: 0.0000 0.0000 0.5000
V: 0.0000 0.5000 0.0000
V: 0.5000 0.0000 0.5000
Ni: 0.1250 0.8750 0.2500
Ni: 0.8750 0.1250 0.7500

Summary:
ΔE_f   5.44 eV/f.u.
Calculated volume   244.80 Å³ per cell
Symmetry   No. 141



Table of density (g/cm³), in record order: 2.4; 5.3; 3.3
Table of magnetization (μB/f.u.), in record order: 3.87; 3.95; 6.43